[1]
Here is Cu2SbBr at its PBEsol-relaxed geometry from Alexandria via LeMat-Bulk. Energies are from SCAN.

Output
E_tot ... -21.133 eV/atom
Crystal system ... tetragonal
Energy relative to the lowest polymorph listed for this composition ... 0.323 eV per atom
Energy relative to the elements, uncorrected ... 647 meV/atom
Spin magnetization ... 0.00 μB/f.u.

Cell: 4.913 4.913 4.913 Å, 127.01 127.01 78.23°
Atoms (fractional coordinates):
1 Cu 0.250 0.750 0.500
2 Cu 0.750 0.250 0.500
3 Sb 0.000 0.000 0.000
4 Br 0.500 0.500 0.000

[2]
Here is CuSbBr at its PBEsol-relaxed geometry from Alexandria via LeMat-Bulk. Energies are from SCAN.

Output
E_tot ... -23.427 eV/atom
Crystal system ... cubic
Energy relative to the lowest polymorph listed for this composition ... 0.524 eV per atom
Energy relative to the elements, uncorrected ... 546 meV/atom
Spin magnetization ... 0.00 μB/f.u.

Cell: 4.604 4.604 4.604 Å, 60.00 60.00 60.00°
Atoms (fractional coordinates):
1 Cu 0.000 0.000 0.000
2 Sb 0.250 0.250 0.250
3 Br 0.750 0.750 0.750

[3]
Here is CuSbBr at its PBEsol-relaxed geometry from Alexandria via LeMat-Bulk. Energies are from SCAN.

Output
E_tot ... -23.952 eV/atom
Crystal system ... orthorhombic
Energy relative to the lowest polymorph listed for this composition ... 0.000 eV per atom
Energy relative to the elements, uncorrected ... 22 meV/atom
Spin magnetization ... 0.00 μB/f.u.

Cell: 7.195 6.793 3.462 Å, 82.24 69.29 28.47°
Atoms (fractional coordinates):
1 Cu 0.000 0.000 0.000
2 Sb 0.358 0.358 0.642
3 Br 0.621 0.621 0.379

[4]
Here is Cu2SbBr at its PBEsol-relaxed geometry from Alexandria via LeMat-Bulk. Energies are from SCAN.

Output
E_tot ... -21.456 eV/atom
Crystal system ... tetragonal
Energy relative to the lowest polymorph listed for this composition ... 0.000 eV per atom
Energy relative to the elements, uncorrected ... 323 meV/atom
Spin magnetization ... 0.00 μB/f.u.

Cell: 3.235 3.235 6.998 Å, 90.00 90.00 90.00°
Atoms (fractional coordinates):
1 Cu 0.000 0.000 0.241
2 Cu 0.000 0.000 0.759
3 Sb 0.500 0.500 0.000
4 Br 0.500 0.500 0.500